1.
Computed, not measured: a relaxed LiTl2Bi2 crystal at the PBEsol level of DFT.

Computed properties:
E (eV for the cell shown): -32.4
Formation energy from the elements (eV/f.u.): -0.38

Unit cell a=7.4679 b=7.4679 c=5.2730 alpha=90.00 beta=90.00 gamma=90.00
With the nearest neighbours (Å) after each atom.
Space group P4/mbm (No. 127)
Symmetry-distinct sites (fractional):
Li: 0.0000 0.0000 0.0000 x2  4 Bi 2.87
Tl: 0.1659 0.3341 0.5000 x4  6 Bi 3.31-3.51, 1 Tl 3.50
Bi: 0.1445 0.6445 0.0000 x4  2 Li 2.87, 1 Bi 3.05



2.
Computed, not measured: a relaxed CaHgSb crystal at the PBEsol level of DFT.

Computed properties:
E (eV for the cell shown): -9.0
Formation energy without anion corrections (eV/f.u.): -1.7

Unit cell a=4.6453 b=4.6453 c=4.3463 alpha=90.00 beta=90.00 gamma=120.00
With the nearest neighbours (Å) after each atom.
Space group P3m1 (No. 156)
Symmetry-distinct sites (fractional):
Ca: 0.0000 0.0000 0.0000 x1  3 Hg 3.07, 3 Sb 3.24
Hg: 0.3333 0.6667 0.3454 x1  3 Sb 2.87, 3 Ca 3.07
Sb: 0.6667 0.3333 0.5831 x1  3 Hg 2.87



3.
Computed, not measured: a relaxed YTeRu2 crystal at the PBEsol level of DFT.

Computed properties:
E (eV for the cell shown): -31.6
Formation energy without anion corrections (eV/f.u.): -0.9

Unit cell a=4.4345 b=4.4345 c=3.5491 alpha=90.00 beta=90.00 gamma=90.00
With the nearest neighbours (Å) after each atom.
Space group P4/mmm (No. 123)
Symmetry-distinct sites (fractional):
Y: 0.0000 0.0000 0.0000 x1  8 Ru 2.84, 4 Te 3.14
Te: 0.5000 0.5000 0.0000 x1  8 Ru 2.84, 4 Y 3.14
Ru: 0.0000 0.5000 0.5000 x2  4 Te 2.84, 4 Y 2.84, 4 Ru 3.14



4.
Computed, not measured: a relaxed Cs2LiCeI6 crystal at the PBEsol level of DFT.

Computed properties:
E (eV for the cell shown): -139.4
Formation energy without anion corrections (eV/f.u.): -13.8

Unit cell a=11.9567 b=11.9567 c=11.9567 alpha=90.00 beta=90.00 gamma=90.00
With the nearest neighbours (Å) after each atom.
Space group Fm-3m (No. 225)
Symmetry-distinct sites (fractional):
Cs: 0.2500 0.2500 0.2500 x8  12 I 4.23
Li: 0.0000 0.0000 0.0000 x4  6 I 2.90
Ce: 0.0000 0.0000 0.5000 x4  6 I 3.07
I: 0.0000 0.0000 0.2429 x24  1 Li 2.90, 1 Ce 3.07



5.
Computed, not measured: a relaxed ZrCo2Te crystal at the PBEsol level of DFT.

Computed properties:
E (eV for the cell shown): -109.8
Formation energy without anion corrections (eV/f.u.): 0.6

Unit cell a=6.3064 b=6.3064 c=6.3064 alpha=90.00 beta=90.00 gamma=90.00
With the nearest neighbours (Å) after each atom.
Space group F-43m (No. 216)
Symmetry-distinct sites (fractional):
Zr: 0.0000 0.0000 0.0000 x4  4 Te 2.73, 4 Co 2.73
Co: 0.0000 0.0000 0.5000 x4  4 Co 2.73, 4 Te 2.73
Co: 0.2500 0.2500 0.7500 x4  4 Zr 2.73, 4 Co 2.73
Te: 0.2500 0.2500 0.2500 x4  4 Zr 2.73, 4 Co 2.73



6.
Computed, not measured: a relaxed Tl5In4 crystal at the PBEsol level of DFT.

Computed properties:
E (eV for the cell shown): -49.9
Formation energy from the elements (eV/f.u.): 0.14

Unit cell a=11.3568 b=11.3568 c=3.7718 alpha=90.00 beta=90.00 gamma=90.00
With the nearest neighbours (Å) after each atom.
Space group I4/mmm (No. 139)
Symmetry-distinct sites (fractional):
Tl: 0.0000 0.0000 0.0000 x2  8 Tl 3.28
Tl: 0.1669 0.1669 0.5000 x8  4 Tl 3.27-3.28, 4 In 3.31
In: 0.0000 0.3384 0.0000 x8  4 In 3.21, 4 Tl 3.31



7.
Computed, not measured: a relaxed Ba2NaCrSn crystal at the PBEsol level of DFT.

Computed properties:
E (eV for the cell shown): -16.7
Formation energy from the elements (eV/f.u.): 3.47

Unit cell a=6.2304 b=6.2304 c=5.1965 alpha=90.00 beta=90.00 gamma=90.00
With the nearest neighbours (Å) after each atom.
Space group P4/mmm (No. 123)
Symmetry-distinct sites (fractional):
Ba: 0.0000 0.5000 0.0000 x2  2 Na 3.12
Na: 0.0000 0.0000 0.0000 x1  2 Sn 2.60
Cr: 0.5000 0.5000 0.5000 x1  8 Ba 4.06, 4 Sn 4.41
Sn: 0.0000 0.0000 0.5000 x1  2 Na 2.60



8.
Computed, not measured: a relaxed YTi2CoCl crystal at the PBEsol level of DFT.

Computed properties:
E (eV for the cell shown): -31.4
Formation energy without anion corrections (eV/f.u.): 1.8

Unit cell a=4.4345 b=4.4345 c=5.0519 alpha=90.00 beta=90.00 gamma=90.00
With the nearest neighbours (Å) after each atom.
Space group P4/mmm (No. 123)
Symmetry-distinct sites (fractional):
Y: 0.0000 0.0000 0.0000 x1  4 Cl 3.14, 8 Ti 3.36
Ti: 0.0000 0.5000 0.5000 x2  2 Co 2.22
Co: 0.5000 0.5000 0.5000 x1  4 Ti 2.22
Cl: 0.5000 0.5000 0.0000 x1  2 Co 2.53



no.,total magnetic moment (μB/cell)
1,0.00
2,0.00
3,0.00
4,4.00
5,6.25
6,0.00
7,4.96
8,1.77